Li2ReW | PBE | optimized geometry

As for the magnetic moment: 0.0 μB/cell. The formation energy is 4.67 eV per formula unit. As for the polymorph energy (0 for the lowest one): 936 meV per atom.

a = 6.822 Å, b = 6.822 Å, c = 4.925 Å
α = 90.00°, β = 90.00°, γ = 90.00°
Space group I-42d (No. 122)
Asymmetric unit:
Li (0.243, 0.250, 0.125)
Re (0.000, 0.000, 0.000)
W (0.000, 0.000, 0.500)